A PBEsol-optimized structure of Al8V5. Source: Alexandria, functional SCAN.

Results
As for the crystal system: monoclinic. As for the excess energy over the best structure of this formula in the dataset: 0.036 eV per atom. The calculation puts the total magnetization at 0.0000 μB per atom. The value obtained for the final energy is -0.4315 hartree per atom. Its density of states at the Fermi level is 4.71 states/eV/f.u. The volume is 383.2 Å³/cell.

abc: 7.9325 7.9325 7.8668
angles: 108.83 108.83 110.28
Fractional coordinates of all 26 atoms:
Al (0.0000, 0.0000, 0.0000)
Al (0.0894, 0.3544, 0.9541)
Al (0.1073, 0.6967, 0.6158)
Al (0.3478, 0.9934, 0.2462)
Al (0.3544, 0.0894, 0.9541)
Al (0.3542, 0.7032, 0.3387)
Al (0.5921, 0.5921, 0.1873)
Al (0.6012, 0.9573, 0.8649)
Al (0.6967, 0.1073, 0.6158)
Al (0.7007, 0.7007, 0.6012)
Al (0.7032, 0.3542, 0.3387)
Al (0.7281, 0.9889, 0.2500)
Al (0.9573, 0.6012, 0.8649)
Al (0.9889, 0.7281, 0.2500)
Al (0.9934, 0.3478, 0.2462)
Al (0.9926, 0.9926, 0.6017)
V (0.0086, 0.3390, 0.5946)
V (0.1375, 0.1375, 0.3938)
V (0.3390, 0.0086, 0.5946)
V (0.3400, 0.3400, 0.7960)
V (0.3480, 0.3480, 0.2686)
V (0.3489, 0.6890, 0.9534)
V (0.3495, 0.5472, 0.5971)
V (0.5472, 0.3495, 0.5971)
V (0.6852, 0.6852, 0.9330)
V (0.6890, 0.3489, 0.9534)

=====

A PBEsol-optimized structure of Al3W. Source: Alexandria, functional SCAN.

Results
As for the crystal system: tetragonal. The calculation puts the total magnetization at 0.0008 μB per atom. The value obtained for the final energy is -0.8556 hartree per atom. Its density of states at the Fermi level is 2.04 states/eV/f.u. The volume is 61.5 Å³/cell.

abc: 3.3751 3.3751 5.4017
angles: 90.00 90.00 90.00
Fractional coordinates of all 4 atoms:
Al (0.0000, 0.0000, 0.0000)
Al (0.5000, 0.5000, 0.2604)
Al (0.5000, 0.5000, 0.7396)
W (0.0000, 0.0000, 0.5000)